Record 1
Density functional theory data (GGA-PBE) for Sc2TiRu2 after structural relaxation.

Unit cell a=7.1885 b=7.1885 c=3.4244 alpha=90.00 beta=90.00 gamma=90.00
Element x y z (fractional)
Sc: 0.1537 0.6537 0.5000
Sc: 0.6537 0.8463 0.5000
Sc: 0.8463 0.3463 0.5000
Sc: 0.3463 0.1537 0.5000
Ru: 0.3483 0.8483 0.0000
Ru: 0.8483 0.6517 0.0000
Ru: 0.6517 0.1517 0.0000
Ru: 0.1517 0.3483 0.0000
Ti: 0.0000 0.0000 0.0000
Ti: 0.5000 0.5000 0.0000

Properties
Formation enthalpy at 0 K (kcal/mol of atoms): -7.23
DOS(E_F) (states/eV/f.u.): 3.65
ΔE to the lowest computed polymorph (meV per atom): 200

Record 2
Density functional theory data (GGA-PBE) for Sc3TiRu after structural relaxation.

Unit cell a=4.7214 b=4.7214 c=4.7214 alpha=90.00 beta=90.00 gamma=90.00
Element x y z (fractional)
Sc: 0.0000 0.5000 0.0000
Sc: 0.0000 0.0000 0.5000
Sc: 0.5000 0.0000 0.0000
Ru: 0.5000 0.5000 0.5000
Ti: 0.0000 0.0000 0.0000

Properties
Formation enthalpy at 0 K (kcal/mol of atoms): 22.64
DOS(E_F) (states/eV/f.u.): 5.75
ΔE to the lowest computed polymorph (meV per atom): 745

Record 3
Density functional theory data (GGA-PBE) for Sc2TiRu after structural relaxation.

Unit cell a=3.2034 b=3.2034 c=7.2949 alpha=90.00 beta=90.00 gamma=90.00
Element x y z (fractional)
Sc: 0.0000 0.0000 0.7860
Sc: 0.0000 0.0000 0.2140
Ru: 0.5000 0.5000 0.0000
Ti: 0.5000 0.5000 0.5000

Properties
Formation enthalpy at 0 K (kcal/mol of atoms): -5.23
DOS(E_F) (states/eV/f.u.): 4.74
ΔE to the lowest computed polymorph (meV per atom): 0